HoTmScIn | PBE | relaxed

The raw total energy is -4.79 eV/atom. The value obtained for the calculated volume is 26.1 Å³/atom. As for the polymorph energy (0 for the lowest one): 0.0000 eV per atom.

The structure belongs to space group Pmmm (No. 47); the cell edges are 4.691, 4.715 and 4.723 Å and the angles 90.00°, 90.00° and 90.00°. The inequivalent atoms are Ho at (0.000, 0.000, 0.000), Tm at (0.000, 0.500, 0.500), Sc at (0.500, 0.500, 0.000) and In at (0.500, 0.000, 0.500).

=====

HoTmSc2In4 | PBE | relaxed

The raw total energy is -4.50 eV/atom. The value obtained for the calculated volume is 24.3 Å³/atom.

The structure belongs to space group R-3m (No. 166, hexagonal axes); the cell edges are 5.1574, 5.1574 and 25.3038 Å and the angles 90.00°, 90.00° and 120.00°. The inequivalent atoms are Ho at (0.0000, 0.0000, 0.0000), Tm at (0.0000, 0.0000, 0.5000), Sc at (0.0000, 0.0000, 0.2499), In at (0.0000, 0.0000, 0.1254) and In at (0.0000, 0.0000, 0.3754).

=====

Question: The highest calculated volume belongs to which entry?
Answer: HoTmScIn